The following is a PBE calculation of a relaxed structure of Ce2PuTeN2, from Alexandria via LeMat-Bulk.

## Properties
raw total energy	-52.96	eV per formula unit
space group	P4/mmm, No. 123
D(E_F)	12.40	states/eV/f.u.
E_form (uncorrected)	-6.97	eV/f.u.

Cell lengths 4.4096, 4.4096, 6.5624 Å; angles 90.00, 90.00, 90.00 degrees
Fractional positions:
1 N 0.0000 0.5000 0.0000
2 N 0.5000 0.0000 0.0000
3 Ce 0.5000 0.5000 0.2322
4 Ce 0.5000 0.5000 0.7678
5 Te 0.0000 0.0000 0.5000
6 Pu 0.0000 0.0000 0.0000